This record from Alexandria via LeMat-Bulk describes a relaxed structure of BaInSnBi. The functional is PBE.

Total moment   0.0 μB/cell
Space-group type   No. 8
Crystal system   monoclinic
Energy of formation from the pure elements   -0.335 eV/atom
E   -27.8 eV/cell

```
BaInSnBi
1.0
13.8332 0.0000 0.0000
0.0000 4.6749 0.0000
-1.8809 0.0000 4.7548
Ba In Sn Bi
2 2 2 2
direct
0.0000 0.0000 0.0000
0.5000 0.5000 0.0000
0.2505 0.5000 0.2497
0.7505 0.0000 0.2497
0.1378 0.5000 0.6378
0.6378 0.0000 0.6378
0.4027 0.0000 0.4031
0.9027 0.5000 0.4031
```